Entry 1:
Crystalline YTe2Mo at its relaxed geometry, computed with PBE.

Cell: 10.669 10.669 10.669 Å, 18.87 18.87 18.87°
Site moments in Bohr magnetons follow the coordinates.
Atoms (fractional coordinates):
Mo (0.749, 0.749, 0.749)  0.23
Te (0.025, 0.025, 0.025)  -0.01
Te (0.235, 0.235, 0.235)  0.01
Y (0.491, 0.491, 0.491)  0.02

Values from the calculation:
For the energy above the lowest structure with this stoichiometry, the calculation gives 0.2566 eV/atom. The raw formation energy comes out at -0.127 eV/atom.



Entry 2:
Crystalline TlPtRh at its relaxed geometry, computed with PBE.

Cell: 4.440 4.440 4.440 Å, 60.00 60.00 60.00°
Atoms (fractional coordinates):
Tl (0.500, 0.500, 0.500)
Pt (0.750, 0.750, 0.750)
Rh (0.000, 0.000, 0.000)

Values from the calculation:
For the energy above the lowest structure with this stoichiometry, the calculation gives 0.1901 eV/atom. The formation energy from the elements is 287 meV per atom.



Entry 3:
Crystalline Na3Zn4Sn4 at its relaxed geometry, computed with PBE.

Cell: 4.708 7.237 8.823 Å, 114.22 105.47 90.00°
Atoms (fractional coordinates):
Na (0.124, 0.124, 0.247)
Na (0.876, 0.876, 0.753)
Na (0.000, 0.500, 0.000)
Zn (0.334, 0.148, 0.667)
Zn (0.666, 0.480, 0.333)
Zn (0.666, 0.852, 0.333)
Zn (0.334, 0.520, 0.667)
Sn (0.224, 0.724, 0.449)
Sn (0.776, 0.276, 0.551)
Sn (0.500, 0.805, 0.000)
Sn (0.500, 0.195, 0.000)

Values from the calculation:
The formation energy from the elements is -92 meV per atom.



Entry 4:
Crystalline AsRuRh2 at its relaxed geometry, computed with PBE.

Cell: 2.894 2.894 6.893 Å, 90.00 90.00 90.00°
Atoms (fractional coordinates):
Ru (0.000, 0.000, 0.518)
As (0.500, 0.500, 0.749)
Rh (0.000, 0.000, 0.975)
Rh (0.500, 0.500, 0.259)

Values from the calculation:
The formation energy from the elements is 41 meV per atom.



Entry 5:
Crystalline Li2TlPt at its relaxed geometry, computed with PBE.

Cell: 4.929 4.929 4.075 Å, 65.68 65.68 48.72°
Atoms (fractional coordinates):
Tl (0.750, 0.750, 0.750)
Pt (0.501, 0.501, 0.499)
Li (0.000, 0.000, 0.001)
Li (0.250, 0.250, 0.250)

Values from the calculation:
The formation energy from the elements is -417 meV per atom.



Entry 6:
Crystalline Sm4Te3Se at its relaxed geometry, computed with PBE.

Cell: 4.347 7.622 7.622 Å, 109.19 90.00 90.00°
Atoms (fractional coordinates):
Te (0.000, 0.000, 0.500)
Te (0.500, 0.500, 0.500)
Te (0.000, 0.500, 0.000)
Se (0.500, 0.000, 0.000)
Sm (0.000, 0.224, 0.224)
Sm (0.500, 0.766, 0.234)
Sm (0.000, 0.776, 0.776)
Sm (0.500, 0.234, 0.766)

Values from the calculation:
The raw formation energy comes out at -1.492 eV/atom.



Entry 7:
Crystalline ZrGaOs at its relaxed geometry, computed with PBE.

Cell: 4.189 5.371 5.506 Å, 75.21 69.74 68.40°
Atoms (fractional coordinates):
Zr (0.941, 0.320, 0.811)
Zr (0.059, 0.680, 0.189)
Ga (0.371, 0.098, 0.218)
Ga (0.629, 0.902, 0.782)
Os (0.700, 0.296, 0.406)
Os (0.300, 0.704, 0.594)

Values from the calculation:
The formation energy from the elements is -388 meV per atom.



Entry 8:
Crystalline SrNiSb2 at its relaxed geometry, computed with PBE.

Cell: 3.414 3.414 9.100 Å, 90.00 90.00 90.00°
Atoms (fractional coordinates):
Ni (0.500, 0.500, 0.794)
Sb (0.000, 0.000, 0.907)
Sb (0.500, 0.500, 0.265)
Sr (0.000, 0.000, 0.535)

Values from the calculation:
The raw formation energy comes out at -0.129 eV/atom.